First-principles (PBE) data for a relaxed PuPaN2F crystal, as listed in Alexandria.

The density comes out at 12.3 g cm⁻³. The uncorrected formation energy comes out at -1.97 eV/atom. Its crystal system is tetragonal.

Cell: 3.496 3.496 11.571 Å, 90.00 90.00 90.00°
Space group P4/nmm (No. 129, origin choice 2)
Symmetry-distinct sites (fractional):
Pu: 0.250 0.250 0.152 (multiplicity 2)
Pa: 0.250 0.250 0.611 (multiplicity 2)
N: 0.250 0.250 0.387 (multiplicity 2)
N: 0.250 0.250 0.794 (multiplicity 2)
F: 0.250 0.750 0.000 (multiplicity 2)

***

First-principles (PBE) data for a relaxed SrPmBiAu crystal, as listed in Alexandria.

The density comes out at 8.9 g cm⁻³. Its formation enthalpy at 0 K is -0.69 eV per atom. Its crystal system is cubic.

Cell: 7.822 7.822 7.822 Å, 90.00 90.00 90.00°
Space group F-43m (No. 216)
Symmetry-distinct sites (fractional):
Sr: 0.000 0.000 0.000 (multiplicity 4)
Pm: 0.000 0.000 0.500 (multiplicity 4)
Bi: 0.250 0.250 0.750 (multiplicity 4)
Au: 0.250 0.250 0.250 (multiplicity 4)

***

First-principles (PBE) data for a relaxed Sr3Sn5O12 crystal, as listed in Alexandria.

The density comes out at 5.6 g cm⁻³. The uncorrected formation energy comes out at -1.96 eV/atom. Its crystal system is cubic.

Cell: 13.582 13.582 13.582 Å, 90.00 90.00 90.00°
Space group Ia-3d (No. 230)
Symmetry-distinct sites (fractional):
Sr: 0.000 0.250 0.125 (multiplicity 24)
Sn: 0.000 0.000 0.000 (multiplicity 16)
Sn: 0.000 0.250 0.375 (multiplicity 24)
O: 0.028 0.050 0.647 (multiplicity 96)

***

First-principles (PBE) data for a relaxed ReSb2Pt crystal, as listed in Alexandria.

The density comes out at 12.3 g cm⁻³. The uncorrected formation energy comes out at 0.21 eV/atom. The energy relative to the lowest polymorph listed for this composition is 5.4 kJ per mole of atoms. Its crystal system is tetragonal.

Cell: 3.155 3.155 8.487 Å, 90.00 90.00 90.00°
Space group P4mm (No. 99)
Symmetry-distinct sites (fractional):
Re: 0.000 0.000 0.000 (multiplicity 1)
Sb: 0.000 0.000 0.592 (multiplicity 1)
Sb: 0.500 0.500 0.202 (multiplicity 1)
Pt: 0.500 0.500 0.794 (multiplicity 1)